## A
The following is a DFT calculation (PBE) of TbSm2Y7 after structural relaxation.

Cell lengths 9.338, 9.338, 5.505 Å; angles 90.00, 90.00, 124.19 degrees
Element x y z (fractional)
Tb 0.000 0.000 0.000
Sm 0.297 0.703 0.500
Sm 0.703 0.297 0.500
Y 0.065 0.289 0.500
Y 0.211 0.789 0.000
Y 0.289 0.065 0.500
Y 0.500 0.500 0.500
Y 0.711 0.935 0.500
Y 0.789 0.211 0.000
Y 0.935 0.711 0.500

Results
Symmetry ... Cmmm (65)
Density of states at the Fermi level ... 15.1 states/eV per cell

---

## B
The following is a DFT calculation (PBE) of TbSm2Y7 after structural relaxation.

Cell lengths 15.075, 15.075, 3.462 Å; angles 90.00, 90.00, 155.06 degrees
Element x y z (fractional)
Tb 0.000 0.000 0.000
Sm 0.207 0.793 0.500
Sm 0.793 0.207 0.500
Y 0.145 0.343 0.500
Y 0.311 0.689 0.000
Y 0.343 0.145 0.500
Y 0.500 0.500 0.500
Y 0.657 0.855 0.500
Y 0.689 0.311 0.000
Y 0.855 0.657 0.500

Results
Symmetry ... Cmmm (65)
Density of states at the Fermi level ... 20.0 states/eV per cell

---

The most stable of them is B.

---

## A
The following is a DFT calculation (PBE) of Tb2Sm7Y3 after structural relaxation.

Cell lengths 11.770, 11.770, 11.770 Å; angles 32.53, 32.53, 32.53 degrees
Element x y z (fractional)
Tb 0.166 0.166 0.166
Tb 0.834 0.834 0.834
Sm 0.000 0.000 0.000
Sm 0.088 0.088 0.578
Sm 0.088 0.578 0.088
Sm 0.422 0.912 0.912
Sm 0.578 0.088 0.088
Sm 0.912 0.422 0.912
Sm 0.912 0.912 0.422
Y 0.349 0.349 0.349
Y 0.500 0.500 0.500
Y 0.651 0.651 0.651

Results
Symmetry ... R-3m (166)
Density of states at the Fermi level ... 18.7 states/eV per cell

---

## B
The following is a DFT calculation (PBE) of Tb2Sm7Y3 after structural relaxation.

Cell lengths 5.860, 3.625, 18.919 Å; angles 90.00, 93.67, 90.00 degrees
Element x y z (fractional)
Tb 0.207 0.000 0.297
Tb 0.793 0.000 0.703
Sm 0.179 0.500 0.145
Sm 0.242 0.000 0.464
Sm 0.320 0.000 0.819
Sm 0.500 0.500 0.000
Sm 0.680 0.000 0.181
Sm 0.758 0.000 0.536
Sm 0.821 0.500 0.855
Y 0.000 0.000 0.000
Y 0.282 0.500 0.633
Y 0.718 0.500 0.367

Results
Symmetry ... P2/m (10)
Density of states at the Fermi level ... 16.4 states/eV per cell

---

The most stable of them is B.

---

## A
The following is a DFT calculation (PBE) of Tb2SmY after structural relaxation.

Cell lengths 3.581, 3.581, 35.032 Å; angles 90.00, 90.00, 120.00 degrees
Element x y z (fractional)
Tb 0.000 0.000 0.249
Tb 0.000 0.000 0.751
Tb 0.333 0.667 0.417
Tb 0.333 0.667 0.916
Tb 0.667 0.333 0.084
Tb 0.667 0.333 0.583
Sm 0.000 0.000 0.000
Sm 0.333 0.667 0.667
Sm 0.667 0.333 0.333
Y 0.000 0.000 0.500
Y 0.333 0.667 0.167
Y 0.667 0.333 0.833

Results
Symmetry ... R-3m (166)
Density of states at the Fermi level ... 17.0 states/eV per cell

---

## B
The following is a DFT calculation (PBE) of Tb2SmY after structural relaxation.

Cell lengths 3.607, 3.607, 34.697 Å; angles 90.00, 90.00, 120.00 degrees
Element x y z (fractional)
Tb 0.000 0.000 0.000
Tb 0.000 0.000 0.165
Tb 0.333 0.667 0.667
Tb 0.333 0.667 0.832
Tb 0.667 0.333 0.333
Tb 0.667 0.333 0.499
Sm 0.000 0.000 0.583
Sm 0.333 0.667 0.249
Sm 0.667 0.333 0.916
Y 0.000 0.000 0.749
Y 0.333 0.667 0.416
Y 0.667 0.333 0.082

Results
Symmetry ... R3m (160)
Density of states at the Fermi level ... 18.8 states/eV per cell

---

## C
The following is a DFT calculation (PBE) of Tb2SmY after structural relaxation.

Cell lengths 8.077, 8.077, 8.077 Å; angles 90.00, 90.00, 90.00 degrees
Element x y z (fractional)
Tb 0.250 0.250 0.250
Tb 0.250 0.250 0.750
Tb 0.250 0.750 0.250
Tb 0.250 0.750 0.750
Tb 0.750 0.250 0.250
Tb 0.750 0.250 0.750
Tb 0.750 0.750 0.250
Tb 0.750 0.750 0.750
Sm 0.000 0.000 0.000
Sm 0.000 0.500 0.500
Sm 0.500 0.000 0.500
Sm 0.500 0.500 0.000
Y 0.000 0.000 0.500
Y 0.000 0.500 0.000
Y 0.500 0.000 0.000
Y 0.500 0.500 0.500

Results
Symmetry ... Fm-3m (225)
Density of states at the Fermi level ... 41.7 states/eV per cell

---

The most stable of them is B.

---

## A
The following is a DFT calculation (PBE) of TbSm3Y6 after structural relaxation.

Cell lengths 11.649, 11.649, 6.436 Å; angles 90.00, 90.00, 131.02 degrees
Element x y z (fractional)
Tb 0.160 0.840 0.500
Tb 0.840 0.160 0.000
Sm 0.040 0.297 0.528
Sm 0.297 0.040 0.028
Sm 0.421 0.579 0.420
Sm 0.579 0.421 0.920
Sm 0.703 0.960 0.528
Sm 0.960 0.703 0.028
Y 0.013 0.987 0.702
Y 0.105 0.543 0.186
Y 0.256 0.379 0.947
Y 0.302 0.698 0.721
Y 0.379 0.256 0.447
Y 0.457 0.895 0.186
Y 0.543 0.105 0.686
Y 0.621 0.744 0.947
Y 0.698 0.302 0.221
Y 0.744 0.621 0.447
Y 0.895 0.457 0.686
Y 0.987 0.013 0.202

Results
Symmetry ... Cmc2_1 (36)
Density of states at the Fermi level ... 31.5 states/eV per cell

---

## B
The following is a DFT calculation (PBE) of TbSm3Y6 after structural relaxation.

Cell lengths 10.945, 10.945, 6.375 Å; angles 90.00, 90.00, 119.76 degrees
Element x y z (fractional)
Tb 0.198 0.802 0.500
Tb 0.802 0.198 0.000
Sm 0.062 0.288 0.683
Sm 0.288 0.062 0.183
Sm 0.388 0.612 0.571
Sm 0.612 0.388 0.071
Sm 0.712 0.938 0.683
Sm 0.938 0.712 0.183
Y 0.042 0.958 0.764
Y 0.052 0.469 0.272
Y 0.272 0.728 0.985
Y 0.290 0.379 0.094
Y 0.379 0.290 0.594
Y 0.469 0.052 0.772
Y 0.531 0.948 0.272
Y 0.621 0.710 0.094
Y 0.710 0.621 0.594
Y 0.728 0.272 0.485
Y 0.948 0.531 0.772
Y 0.958 0.042 0.264

Results
Symmetry ... Cmc2_1 (36)
Density of states at the Fermi level ... 29.3 states/eV per cell

---

The most stable of them is A.

---

## A
The following is a DFT calculation (PBE) of Tb3Sm2Y7 after structural relaxation.

Cell lengths 19.086, 19.086, 3.609 Å; angles 90.00, 90.00, 162.33 degrees
Element x y z (fractional)
Tb 0.000 0.000 0.000
Tb 0.149 0.851 0.000
Tb 0.851 0.149 0.000
Sm 0.325 0.675 0.500
Sm 0.675 0.325 0.500
Y 0.072 0.928 0.500
Y 0.229 0.771 0.500
Y 0.411 0.589 0.000
Y 0.500 0.500 0.500
Y 0.589 0.411 0.000
Y 0.771 0.229 0.500
Y 0.928 0.072 0.500

Results
Symmetry ... Cmmm (65)
Density of states at the Fermi level ... 21.2 states/eV per cell

---

## B
The following is a DFT calculation (PBE) of Tb3Sm2Y7 after structural relaxation.

Cell lengths 5.828, 3.596, 18.773 Å; angles 90.00, 93.45, 90.00 degrees
Element x y z (fractional)
Tb 0.000 0.000 0.000
Tb 0.281 0.500 0.632
Tb 0.719 0.500 0.368
Sm 0.205 0.000 0.294
Sm 0.795 0.000 0.706
Y 0.182 0.500 0.143
Y 0.242 0.000 0.462
Y 0.315 0.000 0.823
Y 0.500 0.500 0.000
Y 0.685 0.000 0.177
Y 0.758 0.000 0.538
Y 0.818 0.500 0.857

Results
Symmetry ... P2/m (10)
Density of states at the Fermi level ... 15.8 states/eV per cell

---

The most stable of them is B.